12
Lattice="-0.7710 -3.4031 -4.8944 4.0714 -9.3298 2.1546 -5.9723 -3.4898 -0.3238" Properties=species:S:1:pos:R:3 comment="Ce7HoPb4 | Alexandria | PBE | relaxed" magnetic_moment_mub_per_atom=0.71 e_form_ev_per_atom=-0.060 pbc="T T T"
Ho 0.0000 0.0000 0.0000
Pb -3.0791 -11.8079 -2.3780
Pb 0.4893 -10.0793 -0.4510
Pb -3.1611 -6.1433 -2.6127
Pb 0.4073 -4.4147 -0.6856
Ce -0.3855 -1.7015 -2.4472
Ce -2.4730 -9.0206 -0.7205
Ce 0.9230 -7.1906 1.1632
Ce -0.0209 -12.8398 -2.1423
Ce -3.5949 -9.0320 -4.2268
Ce -2.6509 -3.3829 -0.9213
Ce -0.1988 -7.2020 -2.3432